Record 1
Below is a geometry-optimized Ho5Sn3 structure, with properties calculated at the GGA-PBE level.

## Properties
ΔE_f in eV/f.u.: -5.75
Excess energy over the best structure of this formula in the dataset in kJ/mol of formula units: 0
Space group: P6_3/mcm (193)
Total magnetic moment in μB per atom: 0.00
DOS(E_F) in states/eV/cell: 8.952

a b c (Å): 8.921 8.921 6.521
angles (deg): 90.00 90.00 120.00
Fractional coordinates of all 16 atoms:
Ho 0.000 0.238 0.250
Ho 0.762 0.762 0.250
Ho 0.238 0.238 0.750
Ho 0.000 0.762 0.750
Ho 0.667 0.333 0.500
Ho 0.333 0.667 0.500
Ho 0.238 0.000 0.250
Ho 0.333 0.667 0.000
Ho 0.762 0.000 0.750
Ho 0.667 0.333 0.000
Sn 0.395 0.000 0.750
Sn 0.395 0.395 0.250
Sn 0.000 0.605 0.250
Sn 0.605 0.605 0.750
Sn 0.000 0.395 0.750
Sn 0.605 0.000 0.250

Record 2
Below is a geometry-optimized Ho3Sn7 structure, with properties calculated at the GGA-PBE level.

## Properties
ΔE_f in eV/f.u.: -5.25
Space group: Cmmm (65)
Total magnetic moment in μB per atom: 0.00
DOS(E_F) in states/eV/cell: 3.276

a b c (Å): 13.433 13.433 4.426
angles (deg): 90.00 90.00 161.07
Fractional coordinates of all 10 atoms:
Sn 0.402 0.598 0.500
Sn 0.500 0.500 0.000
Sn 0.903 0.097 0.000
Sn 0.097 0.903 0.000
Sn 0.789 0.211 0.500
Sn 0.598 0.402 0.500
Sn 0.211 0.789 0.500
Ho 0.000 0.000 0.500
Ho 0.310 0.690 0.000
Ho 0.690 0.310 0.000

Record 3
Below is a geometry-optimized HoSn5 structure, with properties calculated at the GGA-PBE level.

## Properties
ΔE_f in eV/f.u.: -1.40
Excess energy over the best structure of this formula in the dataset in kJ/mol of formula units: 0
Space group: Pmmn (59)
Total magnetic moment in μB per atom: 0.00
DOS(E_F) in states/eV/cell: 7.886

a b c (Å): 4.298 6.680 11.038
angles (deg): 90.00 90.00 90.00
Fractional coordinates of all 12 atoms:
Sn 0.250 0.878 0.098
Sn 0.750 0.635 0.569
Sn 0.250 0.878 0.402
Sn 0.750 0.122 0.902
Sn 0.250 0.365 0.431
Sn 0.750 0.118 0.250
Sn 0.750 0.122 0.598
Sn 0.250 0.365 0.069
Sn 0.250 0.882 0.750
Sn 0.750 0.635 0.931
Ho 0.750 0.603 0.250
Ho 0.250 0.397 0.750

Record 4
Below is a geometry-optimized Ho4Sn structure, with properties calculated at the GGA-PBE level.

## Properties
ΔE_f in eV/f.u.: 1.46
Excess energy over the best structure of this formula in the dataset in kJ/mol of formula units: 176
Space group: Pm-3m (221)
Total magnetic moment in μB per atom: 0.23
DOS(E_F) in states/eV/cell: 10.053

a b c (Å): 5.711 5.711 5.711
angles (deg): 90.00 90.00 90.00
Each line ends with the local moment (μB).
Fractional coordinates of all 5 atoms:
Ho 0.500 0.000 0.500  0.15
Ho 0.000 0.500 0.500  0.15
Ho 0.500 0.500 0.000  0.15
Ho 0.000 0.000 0.000  0.19
Sn 0.500 0.500 0.500  0.01

Record 5
Below is a geometry-optimized Ho2Sn structure, with properties calculated at the GGA-PBE level.

## Properties
ΔE_f in eV/f.u.: -1.71
Space group: I4/mmm (139)
Total magnetic moment in μB per atom: 0.00
DOS(E_F) in states/eV/cell: 7.178

a b c (Å): 4.540 4.540 8.900
angles (deg): 104.78 104.78 90.00
Fractional coordinates of all 6 atoms:
Sn 0.862 0.862 0.725
Sn 0.138 0.138 0.275
Ho 0.324 0.324 0.649
Ho 0.000 0.500 0.000
Ho 0.500 0.000 0.000
Ho 0.676 0.676 0.351

Record 6
Below is a geometry-optimized Ho5Sn3 structure, with properties calculated at the GGA-PBE level.

## Properties
ΔE_f in eV/f.u.: -5.28
Excess energy over the best structure of this formula in the dataset in kJ/mol of formula units: 45
Space group: I4/mcm (140)
Total magnetic moment in μB per atom: 0.19
DOS(E_F) in states/eV/cell: 14.919

a b c (Å): 6.144 9.015 9.015
angles (deg): 83.33 70.08 70.08
Each line ends with the local moment (μB).
Fractional coordinates of all 16 atoms:
Ho 0.419 0.300 0.862  0.21
Ho 0.281 0.138 0.300  0.21
Ho 0.081 0.138 0.700  0.21
Ho 0.250 0.500 0.500  0.29
Ho 0.219 0.700 0.862  0.21
Ho 0.781 0.300 0.138  0.21
Ho 0.750 0.500 0.500  0.29
Ho 0.919 0.862 0.300  0.21
Ho 0.719 0.862 0.700  0.21
Ho 0.581 0.700 0.138  0.21
Sn 0.837 0.500 0.825  0.00
Sn 0.250 0.000 0.000  0.00
Sn 0.337 0.825 0.500  0.00
Sn 0.750 0.000 0.000  0.00
Sn 0.163 0.500 0.175  0.00
Sn 0.663 0.175 0.500  0.00

Record 7
Below is a geometry-optimized Ho3Sn structure, with properties calculated at the GGA-PBE level.

## Properties
ΔE_f in eV/f.u.: -1.20
Space group: Pmm2 (25)
Total magnetic moment in μB per atom: 0.00
DOS(E_F) in states/eV/cell: 3.609

a b c (Å): 3.504 5.405 5.969
angles (deg): 90.00 90.00 90.00
Fractional coordinates of all 4 atoms:
Sn 0.000 0.500 0.328
Ho 0.500 0.000 0.487
Ho 0.500 0.500 0.843
Ho 0.000 0.000 0.007

Record 8
Below is a geometry-optimized HoSn structure, with properties calculated at the GGA-PBE level.

## Properties
ΔE_f in eV/f.u.: -0.96
Space group: Fm-3m (225)
Total magnetic moment in μB per atom: 0.00
DOS(E_F) in states/eV/cell: 1.970

a b c (Å): 4.379 4.379 4.379
angles (deg): 60.00 60.00 60.00
Fractional coordinates of all 2 atoms:
Ho 0.000 0.000 0.000
Sn 0.500 0.500 0.500

Record 9
Below is a geometry-optimized Ho3Sn structure, with properties calculated at the GGA-PBE level.

## Properties
ΔE_f in eV/f.u.: -0.88
Space group: Fm-3m (225)
Total magnetic moment in μB per atom: 0.14
DOS(E_F) in states/eV/cell: 6.529

a b c (Å): 5.376 5.376 5.376
angles (deg): 60.00 60.00 60.00
Each line ends with the local moment (μB).
Fractional coordinates of all 4 atoms:
Ho 0.000 0.000 0.000  0.16
Ho 0.750 0.750 0.750  0.14
Ho 0.250 0.250 0.250  0.14
Sn 0.500 0.500 0.500  0.00

Record 10
Below is a geometry-optimized SrHoSn structure, with properties calculated at the GGA-PBE level.

## Properties
ΔE_f in eV/f.u.: -1.70
Space group: P4/nmm (129)
Total magnetic moment in μB per atom: 0.34
DOS(E_F) in states/eV/cell: 2.550

a b c (Å): 4.920 4.920 8.543
angles (deg): 90.00 90.00 90.00
Each line ends with the local moment (μB).
Fractional coordinates of all 6 atoms:
Ho 0.000 0.000 0.500  0.54
Ho 0.500 0.500 0.500  0.54
Sr 0.500 0.000 0.147  0.06
Sr 0.000 0.500 0.853  0.06
Sn 0.000 0.500 0.262  -0.02
Sn 0.500 0.000 0.738  -0.02

Record 11
Below is a geometry-optimized Sr3HoSn12 structure, with properties calculated at the GGA-PBE level.

## Properties
ΔE_f in eV/f.u.: -6.34
Space group: P4/mmm (123)
Total magnetic moment in μB per atom: 0.00
DOS(E_F) in states/eV/cell: 8.464

a b c (Å): 4.816 4.816 19.354
angles (deg): 90.00 90.00 90.00
Fractional coordinates of all 16 atoms:
Sn 0.500 0.000 0.627
Sn 0.000 0.500 0.119
Sn 0.000 0.500 0.627
Sn 0.500 0.500 0.247
Sn 0.500 0.500 0.000
Sn 0.500 0.500 0.753
Sn 0.500 0.000 0.119
Sn 0.000 0.500 0.373
Sn 0.000 0.500 0.881
Sn 0.500 0.500 0.500
Sn 0.500 0.000 0.373
Sn 0.500 0.000 0.881
Sr 0.000 0.000 0.755
Sr 0.000 0.000 0.245
Sr 0.000 0.000 0.500
Ho 0.000 0.000 0.000

Record 12
Below is a geometry-optimized SrHoSn6 structure, with properties calculated at the GGA-PBE level.

## Properties
ΔE_f in eV/f.u.: -3.27
Space group: P4/mmm (123)
Total magnetic moment in μB per atom: 0.00
DOS(E_F) in states/eV/cell: 3.113

a b c (Å): 4.817 4.817 9.455
angles (deg): 90.00 90.00 90.00
Fractional coordinates of all 8 atoms:
Ho 0.000 0.000 0.500
Sn 0.000 0.500 0.741
Sn 0.000 0.500 0.259
Sn 0.500 0.500 0.000
Sn 0.500 0.000 0.259
Sn 0.500 0.500 0.500
Sn 0.500 0.000 0.741
Sr 0.000 0.000 0.000